Computed, not measured: crystalline CaMnCrO2 at its relaxed geometry at the PBE+U level of DFT.

The space group is P4/mmm. As for the total energy: -5.92 eV per atom. Its magnetization is 1.01 μB per formula unit.

Cell: 4.1125 4.5907 4.1125 Å, 90.00 90.00 90.00°
Last column: nearest neighbours and their distance in Å.
Fractional positions:
1 Cr 0.0000 0.0000 0.0000  4 O 2.06, 2 Mn 2.30
2 Ca 0.5000 0.5000 0.5000  4 Mn 2.91, 8 O 3.08
3 Mn 0.0000 0.5000 0.0000  2 Cr 2.30
4 O 0.0000 0.0000 0.5000  2 Cr 2.06
5 O 0.5000 0.0000 0.0000  2 Cr 2.06